CaZrHg2: optimized geometry, GGA-PBEsol.

```
4
Lattice="4.5047 -1.7110 0.0000 4.5047 1.7110 0.0000 -1.2592 0.0000 6.4814" Properties=species:S:1:pos:R:3 pbc="T T T"
Ca 0.0000 0.0000 0.0000
Zr 3.8751 0.0000 3.2407
Hg 1.3213 0.0000 4.6337
Hg 6.4290 0.0000 1.8477
```

Calculated values
Uncorrected energy, Ha/atom: -0.120
Magnetization, μB/cell: 0.00
Space group: C2/m, No. 12
Formation energy, eV/f.u.: -0.76
Density of states at the Fermi level, states/eV/cell: 3.5